# 1
DFT (PBE) results for a relaxed V2Ni9Ge crystal.

Output
DOS(E_F) = 9.588 states/eV per cell
DFT formation energy = -227 meV per atom

Cell and atoms, written as CIF:
```
data_V2Ni9Ge
_chemical_formula_sum 'V2 Ni9 Ge1'
_cell_length_a 3.564
_cell_length_b 3.564
_cell_length_c 10.704
_cell_angle_alpha 90.00
_cell_angle_beta 90.00
_cell_angle_gamma 90.00
_space_group_name_H-M_alt 'P 4/m m m'
_space_group_IT_number 123
_space_group_name_Hall '-P 4 2'
loop_
_atom_site_label
_atom_site_fract_x
_atom_site_fract_y
_atom_site_fract_z
V1 0.000 0.000 0.168
Ni1 0.000 0.500 0.000
Ni2 0.000 0.500 0.329
Ni3 0.500 0.500 0.165
Ni4 0.500 0.500 0.500
Ge1 0.000 0.000 0.500
```

# 2
DFT (PBE) results for a relaxed V2NiGe crystal.

Output
DOS(E_F) = 3.958 states/eV per cell
DFT formation energy = -292 meV per atom

Cell and atoms, written as CIF:
```
data_V2NiGe
_chemical_formula_sum 'V2 Ni1 Ge1'
_cell_length_a 3.586
_cell_length_b 3.586
_cell_length_c 3.992
_cell_angle_alpha 90.00
_cell_angle_beta 90.00
_cell_angle_gamma 90.00
_space_group_name_H-M_alt 'P 4/m m m'
_space_group_IT_number 123
_space_group_name_Hall '-P 4 2'
loop_
_atom_site_label
_atom_site_fract_x
_atom_site_fract_y
_atom_site_fract_z
V1 0.000 0.500 0.000
Ni1 0.000 0.000 0.500
Ge1 0.500 0.500 0.500
```

# 3
DFT (PBE) results for a relaxed V2Ni2Ge crystal.

Output
Energy above the most stable polymorph in this dataset = 1.31 eV/f.u.
DOS(E_F) = 12.684 states/eV per cell
DFT formation energy = 183 meV per atom

Cell and atoms, written as CIF:
```
data_V2Ni2Ge
_chemical_formula_sum 'V4 Ni4 Ge2'
_cell_length_a 3.236
_cell_length_b 3.236
_cell_length_c 13.093
_cell_angle_alpha 90.00
_cell_angle_beta 90.00
_cell_angle_gamma 90.00
_space_group_name_H-M_alt 'I 4/m m m'
_space_group_IT_number 139
_space_group_name_Hall '-I 4 2'
loop_
_atom_site_label
_atom_site_fract_x
_atom_site_fract_y
_atom_site_fract_z
V1 0.000 0.000 0.106
Ni1 0.000 0.500 0.250
Ge1 0.000 0.000 0.500
```

# 4
DFT (PBE) results for a relaxed VNi12Ge3 crystal.

Output
DOS(E_F) = 5.261 states/eV per cell
DFT formation energy = -276 meV per atom

Cell and atoms, written as CIF:
```
data_VNi12Ge3
_chemical_formula_sum 'V1 Ni12 Ge3'
_cell_length_a 3.573
_cell_length_b 3.573
_cell_length_c 14.270
_cell_angle_alpha 90.00
_cell_angle_beta 90.00
_cell_angle_gamma 90.00
_space_group_name_H-M_alt 'P 4/m m m'
_space_group_IT_number 123
_space_group_name_Hall '-P 4 2'
loop_
_atom_site_label
_atom_site_fract_x
_atom_site_fract_y
_atom_site_fract_z
V1 0.000 0.000 0.000
Ni1 0.000 0.500 0.121
Ni2 0.000 0.500 0.374
Ni3 0.500 0.500 0.000
Ni4 0.500 0.500 0.248
Ni5 0.500 0.500 0.500
Ge1 0.000 0.000 0.252
Ge2 0.000 0.000 0.500
```